VASP calculation (meta-GGA SCAN) on a crystal of TlC2 relaxed with PBEsol.

Results
As for the crystal system: trigonal. Its space group is P-3m1, No. 164. The size of the total moment comes out at 0.00 μB/f.u. The value obtained for the calculated formation energy is 1468 meV per atom. The calculation puts the energy at -2.15973 Ry/atom.

abc: 3.6424 3.6424 12.9089
angles: 90.00 90.00 120.00
Sites, in units of the cell vectors:
Tl  0.0000  0.0000  0.0000
Tl  0.3333  0.6667  0.3639
Tl  0.6667  0.3333  0.6361
C  0.0000  0.0000  0.4479
C  0.0000  0.0000  0.5521
C  0.3333  0.6667  0.0999
C  0.3333  0.6667  0.1970
C  0.6667  0.3333  0.8030
C  0.6667  0.3333  0.9001

VASP calculation (meta-GGA SCAN) on a crystal of BaGaGeH relaxed with PBEsol.

Results
As for the crystal system: trigonal. Its space group is P3m1, No. 156. The size of the total moment comes out at 0.00 μB/f.u. The calculation puts the energy at -1.48286 Ry/atom.

abc: 4.3088 4.3088 5.1085
angles: 90.00 90.00 120.00
Sites, in units of the cell vectors:
Ba  0.0000  0.0000  0.0000
Ga  0.3333  0.6667  0.4536
Ge  0.6667  0.3333  0.5512
H  0.3333  0.6667  0.1147

VASP calculation (meta-GGA SCAN) on a crystal of Cr2PtRh relaxed with PBEsol.

Results
As for the crystal system: monoclinic. Its space group is Cm, No. 8. The size of the total moment comes out at 0.32 μB/f.u. The value obtained for the calculated formation energy is -217 meV per atom. The calculation puts the energy at -2.60190 Ry/atom.

abc: 8.7020 2.6287 4.5681
angles: 90.00 102.50 90.00
Sites, in units of the cell vectors:
Cr  0.0000  0.0000  0.0000
Cr  0.2302  0.5000  0.2666
Cr  0.5000  0.5000  0.0000
Cr  0.7302  0.0000  0.2666
Pt  0.2450  0.0000  0.7741
Pt  0.7450  0.5000  0.7741
Rh  0.4809  0.0000  0.4721
Rh  0.9809  0.5000  0.4721